RbNpSi2O8: optimized geometry, PBE-GGA.

Output
Magnetization (μB/f.u.): 2.00
Symmetry: No. 12
Final energy (eV for the cell shown): -93.287
Formation energy from raw total energies (kJ/mol of formula units): -2785

Geometry as CIF:
```
data_RbNpSi2O8
_cell_length_a 5.437
_cell_length_b 5.437
_cell_length_c 8.147
_cell_angle_alpha 77.77
_cell_angle_beta 77.77
_cell_angle_gamma 62.46
_space_group_name_H-M_alt 'P 1'
_space_group_IT_number 1
_space_group_name_Hall 'P 1'
loop_
_atom_site_label
_atom_site_type_symbol
_atom_site_fract_x
_atom_site_fract_y
_atom_site_fract_z
O1 O 0.776 0.776 0.099
O2 O 0.620 0.620 0.420
O3 O 0.718 0.240 0.825
O4 O 0.380 0.380 0.580
O5 O 0.224 0.224 0.901
O6 O 0.282 0.760 0.175
O7 O 0.760 0.282 0.175
O8 O 0.240 0.718 0.825
Si1 Si 0.395 0.395 0.775
Si2 Si 0.605 0.605 0.225
Rb1 Rb 0.000 0.000 0.500
Np1 Np 0.000 0.000 0.000
```


Rb3Sm3NpO8: optimized geometry, PBE-GGA.

Output
Magnetization (μB/f.u.): 3.00
Symmetry: No. 166
Final energy (eV for the cell shown): -110.092
Formation energy from raw total energies (kJ/mol of formula units): -3901

Geometry as CIF:
```
data_Rb3Sm3NpO8
_cell_length_a 7.162
_cell_length_b 7.162
_cell_length_c 7.846
_cell_angle_alpha 117.17
_cell_angle_beta 90.00
_cell_angle_gamma 120.00
_space_group_name_H-M_alt 'P 1'
_space_group_IT_number 1
_space_group_name_Hall 'P 1'
loop_
_atom_site_label
_atom_site_type_symbol
_atom_site_fract_x
_atom_site_fract_y
_atom_site_fract_z
O1 O 0.786 0.047 0.333
O2 O 0.739 0.953 0.667
O3 O 0.786 0.572 0.333
O4 O 0.725 0.449 0.674
O5 O 0.261 0.047 0.333
O6 O 0.214 0.953 0.667
O7 O 0.275 0.551 0.326
O8 O 0.214 0.428 0.667
Sm1 Sm 0.500 0.500 0.500
Sm2 Sm 0.500 0.000 0.500
Sm3 Sm 0.000 0.500 0.500
Rb1 Rb 0.000 0.000 0.000
Rb2 Rb 0.500 0.500 0.000
Rb3 Rb 0.000 0.500 0.000
Np1 Np 0.000 0.000 0.500
```


Rb2SmNpO6: optimized geometry, PBE-GGA.

Output
Magnetization (μB/f.u.): 0.00
Symmetry: No. 225
Final energy (eV for the cell shown): -75.604
Formation energy from raw total energies (kJ/mol of formula units): -2534

Geometry as CIF:
```
data_Rb2SmNpO6
_cell_length_a 6.211
_cell_length_b 6.211
_cell_length_c 6.210
_cell_angle_alpha 60.00
_cell_angle_beta 60.00
_cell_angle_gamma 90.00
_space_group_name_H-M_alt 'P 1'
_space_group_IT_number 1
_space_group_name_Hall 'P 1'
loop_
_atom_site_label
_atom_site_type_symbol
_atom_site_fract_x
_atom_site_fract_y
_atom_site_fract_z
Np1 Np 0.500 0.500 0.000
Sm1 Sm 0.000 0.000 0.000
O1 O 0.732 0.268 0.000
O2 O 0.268 0.268 0.000
O3 O 0.268 0.268 0.465
O4 O 0.732 0.732 0.535
O5 O 0.268 0.732 0.000
O6 O 0.732 0.732 0.000
Rb1 Rb 0.250 0.750 0.500
Rb2 Rb 0.750 0.250 0.500
```


Rb4SmNp3O12: optimized geometry, PBE-GGA.

Output
Magnetization (μB/f.u.): 4.00
Symmetry: No. 229
Final energy (eV for the cell shown): -160.646
Formation energy from raw total energies (kJ/mol of formula units): -5185

Geometry as CIF:
```
data_Rb4SmNp3O12
_cell_length_a 7.546
_cell_length_b 7.546
_cell_length_c 7.546
_cell_angle_alpha 109.47
_cell_angle_beta 109.47
_cell_angle_gamma 109.47
_space_group_name_H-M_alt 'P 1'
_space_group_IT_number 1
_space_group_name_Hall 'P 1'
loop_
_atom_site_label
_atom_site_type_symbol
_atom_site_fract_x
_atom_site_fract_y
_atom_site_fract_z
O1 O 0.500 0.250 0.750
O2 O 0.250 0.750 0.500
O3 O 0.500 0.750 0.250
O4 O 0.000 0.730 0.730
O5 O 0.000 0.270 0.270
O6 O 0.750 0.250 0.500
O7 O 0.270 0.270 0.000
O8 O 0.250 0.500 0.750
O9 O 0.750 0.500 0.250
O10 O 0.730 0.000 0.730
O11 O 0.730 0.730 0.000
O12 O 0.270 0.000 0.270
Np1 Np 0.500 0.000 0.500
Np2 Np 0.500 0.500 0.000
Np3 Np 0.000 0.500 0.500
Rb1 Rb 0.500 0.500 0.500
Rb2 Rb 0.000 0.000 0.500
Rb3 Rb 0.500 0.000 0.000
Rb4 Rb 0.000 0.500 0.000
Sm1 Sm 0.000 0.000 0.000
```


Rb4Sm3NpO8: optimized geometry, PBE-GGA.

Output
Magnetization (μB/f.u.): 3.98
Symmetry: No. 166
Final energy (eV for the cell shown): -110.359
Formation energy from raw total energies (kJ/mol of formula units): -3833

Geometry as CIF:
```
data_Rb4Sm3NpO8
_cell_length_a 7.216
_cell_length_b 7.806
_cell_length_c 7.216
_cell_angle_alpha 117.53
_cell_angle_beta 120.00
_cell_angle_gamma 90.00
_space_group_name_H-M_alt 'P 1'
_space_group_IT_number 1
_space_group_name_Hall 'P 1'
loop_
_atom_site_label
_atom_site_type_symbol
_atom_site_fract_x
_atom_site_fract_y
_atom_site_fract_z
Sm1 Sm 0.500 0.500 0.500
Sm2 Sm 0.000 0.500 0.500
Sm3 Sm 0.500 0.500 0.000
O1 O 0.274 0.322 0.548
O2 O 0.731 0.678 0.955
O3 O 0.777 0.322 0.553
O4 O 0.223 0.678 0.447
O5 O 0.726 0.678 0.452
O6 O 0.777 0.322 0.045
O7 O 0.269 0.322 0.045
O8 O 0.223 0.678 0.955
Np1 Np 0.000 0.500 0.000
Rb1 Rb 0.500 0.000 0.500
Rb2 Rb 0.500 0.000 0.000
Rb3 Rb 0.000 0.000 0.000
Rb4 Rb 0.000 0.000 0.500
```


Rb2NpSnO6: optimized geometry, PBE-GGA.

Output
Magnetization (μB/f.u.): 1.00
Symmetry: No. 225
Final energy (eV for the cell shown): -140.316
Formation energy from raw total energies (kJ/mol of formula units): -2077

Geometry as CIF:
```
data_Rb2NpSnO6
_cell_length_a 5.976
_cell_length_b 5.976
_cell_length_c 8.451
_cell_angle_alpha 90.00
_cell_angle_beta 90.00
_cell_angle_gamma 90.00
_space_group_name_H-M_alt 'P 1'
_space_group_IT_number 1
_space_group_name_Hall 'P 1'
loop_
_atom_site_label
_atom_site_type_symbol
_atom_site_fract_x
_atom_site_fract_y
_atom_site_fract_z
O1 O 0.252 0.498 0.500
O2 O 0.752 0.998 0.000
O3 O 0.500 0.250 0.252
O4 O 0.248 0.998 0.000
O5 O 0.500 0.250 0.748
O6 O 0.252 0.002 0.500
O7 O 0.000 0.750 0.248
O8 O 0.248 0.502 0.000
O9 O 0.748 0.002 0.500
O10 O 0.748 0.498 0.500
O11 O 0.752 0.502 0.000
O12 O 0.000 0.750 0.752
Sn1 Sn 0.500 0.250 0.000
Sn2 Sn 0.000 0.750 0.500
Np1 Np 0.000 0.750 0.000
Np2 Np 0.500 0.250 0.500
Rb1 Rb 0.500 0.750 0.250
Rb2 Rb 0.500 0.750 0.750
Rb3 Rb 0.000 0.250 0.750
Rb4 Rb 0.000 0.250 0.250
```


RbNpSn2O8: optimized geometry, PBE-GGA.

Output
Magnetization (μB/f.u.): 0.72
Symmetry: No. 10
Final energy (eV for the cell shown): -82.421
Formation energy from raw total energies (kJ/mol of formula units): -2011

Geometry as CIF:
```
data_RbNpSn2O8
_cell_length_a 5.206
_cell_length_b 5.200
_cell_length_c 6.765
_cell_angle_alpha 89.99
_cell_angle_beta 89.99
_cell_angle_gamma 87.40
_space_group_name_H-M_alt 'P 1'
_space_group_IT_number 1
_space_group_name_Hall 'P 1'
loop_
_atom_site_label
_atom_site_type_symbol
_atom_site_fract_x
_atom_site_fract_y
_atom_site_fract_z
O1 O 0.202 0.796 0.191
O2 O 0.685 0.686 0.000
O3 O 0.315 0.314 0.000
O4 O 0.202 0.796 0.809
O5 O 0.798 0.204 0.809
O6 O 0.660 0.664 0.500
O7 O 0.798 0.204 0.191
O8 O 0.340 0.336 0.500
Rb1 Rb 0.000 0.000 0.500
Sn1 Sn 0.500 0.500 0.246
Sn2 Sn 0.500 0.500 0.754
Np1 Np 0.000 0.000 0.000
```


RbNpSnO6: optimized geometry, PBE-GGA.

Output
Magnetization (μB/f.u.): 0.00
Symmetry: No. 163
Final energy (eV for the cell shown): -131.995
Formation energy from raw total energies (kJ/mol of formula units): -1769

Geometry as CIF:
```
data_RbNpSnO6
_cell_length_a 5.564
_cell_length_b 5.564
_cell_length_c 12.701
_cell_angle_alpha 90.00
_cell_angle_beta 90.00
_cell_angle_gamma 120.00
_space_group_name_H-M_alt 'P 1'
_space_group_IT_number 1
_space_group_name_Hall 'P 1'
loop_
_atom_site_label
_atom_site_type_symbol
_atom_site_fract_x
_atom_site_fract_y
_atom_site_fract_z
O1 O 0.623 0.008 0.339
O2 O 0.992 0.615 0.339
O3 O 0.385 0.377 0.339
O4 O 0.377 0.385 0.839
O5 O 0.623 0.615 0.161
O6 O 0.008 0.623 0.839
O7 O 0.008 0.385 0.661
O8 O 0.615 0.992 0.839
O9 O 0.385 0.008 0.161
O10 O 0.377 0.992 0.661
O11 O 0.992 0.377 0.161
O12 O 0.615 0.623 0.661
Rb1 Rb 0.000 0.000 0.500
Rb2 Rb 0.000 0.000 0.000
Np1 Np 0.333 0.667 0.750
Np2 Np 0.667 0.333 0.250
Sn1 Sn 0.667 0.333 0.750
Sn2 Sn 0.333 0.667 0.250
```


RbSr2NpO5: optimized geometry, PBE-GGA.

Output
Magnetization (μB/f.u.): 2.00
Symmetry: No. 71
Final energy (eV for the cell shown): -66.461
Formation energy from raw total energies (kJ/mol of formula units): -2354

Geometry as CIF:
```
data_RbSr2NpO5
_cell_length_a 4.349
_cell_length_b 6.411
_cell_length_c 7.061
_cell_angle_alpha 117.00
_cell_angle_beta 107.94
_cell_angle_gamma 90.00
_space_group_name_H-M_alt 'P 1'
_space_group_IT_number 1
_space_group_name_Hall 'P 1'
loop_
_atom_site_label
_atom_site_type_symbol
_atom_site_fract_x
_atom_site_fract_y
_atom_site_fract_z
O1 O 0.000 0.000 0.000
O2 O 0.636 0.916 0.272
O3 O 0.364 0.084 0.728
O4 O 0.364 0.644 0.728
O5 O 0.636 0.356 0.272
Sr1 Sr 0.223 0.223 0.445
Sr2 Sr 0.777 0.777 0.555
Np1 Np 0.500 0.000 0.000
Rb1 Rb 0.000 0.500 0.000
```


Rb2SrNpO4: optimized geometry, PBE-GGA.

Output
Magnetization (μB/f.u.): 3.00
Symmetry: No. 10
Final energy (eV for the cell shown): -54.979
Formation energy from raw total energies (kJ/mol of formula units): -1794

Geometry as CIF:
```
data_Rb2SrNpO4
_cell_length_a 3.646
_cell_length_b 6.357
_cell_length_c 6.910
_cell_angle_alpha 108.25
_cell_angle_beta 90.00
_cell_angle_gamma 90.00
_space_group_name_H-M_alt 'P 1'
_space_group_IT_number 1
_space_group_name_Hall 'P 1'
loop_
_atom_site_label
_atom_site_type_symbol
_atom_site_fract_x
_atom_site_fract_y
_atom_site_fract_z
O1 O 0.500 0.206 0.182
O2 O 0.500 0.794 0.818
O3 O 0.000 0.770 0.175
O4 O 0.000 0.230 0.825
Np1 Np 0.000 0.000 0.000
Rb1 Rb 0.500 0.000 0.500
Rb2 Rb 0.000 0.500 0.500
Sr1 Sr 0.500 0.500 0.000
```


RbSr2NpO6: optimized geometry, PBE-GGA.

Output
Magnetization (μB/f.u.): 0.00
Symmetry: No. 14
Final energy (eV for the cell shown): -147.920
Formation energy from raw total energies (kJ/mol of formula units): -2599

Geometry as CIF:
```
data_RbSr2NpO6
_cell_length_a 6.083
_cell_length_b 6.503
_cell_length_c 9.223
_cell_angle_alpha 90.00
_cell_angle_beta 89.90
_cell_angle_gamma 90.00
_space_group_name_H-M_alt 'P 1'
_space_group_IT_number 1
_space_group_name_Hall 'P 1'
loop_
_atom_site_label
_atom_site_type_symbol
_atom_site_fract_x
_atom_site_fract_y
_atom_site_fract_z
O1 O 0.637 0.191 0.652
O2 O 0.289 0.648 0.002
O3 O 0.211 0.148 0.498
O4 O 0.789 0.852 0.502
O5 O 0.711 0.352 0.998
O6 O 0.365 0.821 0.660
O7 O 0.135 0.321 0.840
O8 O 0.363 0.809 0.348
O9 O 0.137 0.309 0.152
O10 O 0.863 0.691 0.848
O11 O 0.865 0.679 0.160
O12 O 0.635 0.179 0.340
Np1 Np 0.000 0.500 0.000
Np2 Np 0.500 0.000 0.500
Rb1 Rb 0.500 0.000 0.000
Rb2 Rb 0.000 0.500 0.500
Sr1 Sr 0.499 0.497 0.217
Sr2 Sr 0.999 0.003 0.717
Sr3 Sr 0.001 0.997 0.283
Sr4 Sr 0.501 0.503 0.783
```


Rb2SrNp2O7: optimized geometry, PBE-GGA.

Output
Magnetization (μB/f.u.): 4.00
Symmetry: No. 139
Final energy (eV for the cell shown): -96.464
Formation energy from raw total energies (kJ/mol of formula units): -3112

Geometry as CIF:
```
data_Rb2SrNp2O7
_cell_length_a 4.349
_cell_length_b 4.349
_cell_length_c 11.811
_cell_angle_alpha 79.39
_cell_angle_beta 79.39
_cell_angle_gamma 90.00
_space_group_name_H-M_alt 'P 1'
_space_group_IT_number 1
_space_group_name_Hall 'P 1'
loop_
_atom_site_label
_atom_site_type_symbol
_atom_site_fract_x
_atom_site_fract_y
_atom_site_fract_z
Np1 Np 0.406 0.406 0.187
Np2 Np 0.594 0.594 0.813
O1 O 0.500 0.500 0.000
O2 O 0.583 0.083 0.834
O3 O 0.083 0.583 0.834
O4 O 0.681 0.681 0.639
O5 O 0.917 0.417 0.166
O6 O 0.319 0.319 0.361
O7 O 0.417 0.917 0.166
Rb1 Rb 0.808 0.808 0.383
Rb2 Rb 0.192 0.192 0.617
Sr1 Sr 0.000 0.000 0.000
```